[1]
Below is an optimized crystal structure of Er3CdIn2, with properties calculated at the PBE level.

Structure (POSCAR):
```
Er3CdIn2
1.0
-4.685 -2.415 0.116
4.210 -2.505 -1.950
2.674 -4.626 11.712
Er Cd In
6 2 4
direct
0.333 0.667 0.418
0.667 0.333 0.083
0.000 0.000 0.749
0.000 0.000 0.251
0.333 0.667 0.917
0.667 0.333 0.582
0.333 0.667 0.668
0.667 0.333 0.332
0.000 0.000 0.500
0.333 0.667 0.171
0.667 0.333 0.829
0.000 0.000 0.000
```

Crystal system: trigonal
N(E_F) (states/eV/f.u.): 4.3
V (Å³/atom): 25.8
Relative energy among the computed polymorphs (meV per atom): 0

---

[2]
Below is an optimized crystal structure of HoEr3Ir8, with properties calculated at the PBE level.

Structure (POSCAR):
```
HoEr3Ir8
1.0
5.344 0.000 0.000
2.672 4.628 0.000
2.672 1.543 8.717
Ho Er Ir
1 3 8
direct
0.875 0.875 0.375
0.375 0.375 0.875
0.000 0.000 0.000
0.500 0.500 0.500
0.938 0.438 0.187
0.437 0.937 0.688
0.438 0.438 0.187
0.937 0.937 0.688
0.187 0.187 0.438
0.688 0.688 0.937
0.438 0.938 0.187
0.937 0.437 0.688
```

Crystal system: trigonal
N(E_F) (states/eV/f.u.): 9.1
V (Å³/atom): 18.0
Relative energy among the computed polymorphs (meV per atom): 6

---

[3]
Below is an optimized crystal structure of KRe2Te, with properties calculated at the PBE level.

Structure (POSCAR):
```
KRe2Te
1.0
4.692 0.000 0.000
0.000 4.692 0.000
2.346 2.346 9.753
Re K Te
4 2 2
direct
0.949 0.125 0.250
0.801 0.625 0.250
0.375 0.051 0.750
0.875 0.199 0.750
0.500 0.500 0.000
0.250 0.750 0.500
0.000 0.000 0.000
0.750 0.250 0.500
```

Formation energy without anion corrections (meV/atom): 1222
Crystal system: tetragonal
N(E_F) (states/eV/f.u.): 4.0
V (Å³/atom): 26.8

---

[4]
Below is an optimized crystal structure of Cs6PtAuF, with properties calculated at the PBE level.

Structure (POSCAR):
```
Cs6PtAuF
1.0
-2.513 -7.647 -2.194
7.757 2.509 -1.769
5.184 -5.846 14.438
Cs Pt Au F
12 2 2 2
direct
0.656 0.635 0.139
0.979 0.344 0.139
0.344 0.979 0.639
0.021 0.656 0.861
0.365 0.344 0.361
0.979 0.635 0.361
0.635 0.979 0.861
0.656 0.021 0.361
0.021 0.365 0.639
0.365 0.021 0.139
0.635 0.656 0.639
0.344 0.365 0.861
0.333 0.667 0.250
0.667 0.333 0.750
0.000 0.000 0.000
0.000 0.000 0.500
0.667 0.333 0.250
0.333 0.667 0.750
```

Formation energy without anion corrections (meV/atom): -628
Crystal system: trigonal
N(E_F) (states/eV/f.u.): 6.1
V (Å³/atom): 55.0